[1]
TlF | SCAN | single point on PBEsol structure

Uncorrected formation energy = -1.81 eV per atom
Mass density = 9020 kg/m3
E_tot = -2.9222 Ry/atom

Cell: 6.011 5.410 5.058 Å, 90.00 90.00 90.00°
Sites, in units of the cell vectors:
Tl1 0.239 0.012 0.250
Tl2 0.239 0.488 0.750
Tl3 0.761 0.512 0.250
Tl4 0.761 0.988 0.750
F1 0.357 0.566 0.250
F2 0.357 0.934 0.750
F3 0.643 0.066 0.250
F4 0.643 0.434 0.750

[2]
BaPt2Au | SCAN | single point on PBEsol structure

E_form = -35.3 meV per atom
Mass density = 14499 kg/m3
E_tot = -4.5796 Ry/atom

Cell: 5.385 5.385 5.385 Å, 137.30 126.98 70.34°
Sites, in units of the cell vectors:
Ba1 0.000 0.000 0.000
Pt1 0.270 0.770 0.500
Pt2 0.730 0.230 0.500
Au1 0.500 0.500 0.000

[3]
NbGa2F2 | SCAN | single point on PBEsol structure

Uncorrected formation energy = -0.46 eV per atom
Mass density = 5854 kg/m3
E_tot = -1.1052 Ry/atom

Cell: 7.343 7.343 7.343 Å, 153.87 153.87 37.29°
Sites, in units of the cell vectors:
Nb1 0.000 0.000 0.000
Ga1 0.250 0.750 0.500
Ga2 0.750 0.250 0.500
F1 0.419 0.419 0.000
F2 0.581 0.581 0.000

[4]
LiCa2Mo | SCAN | single point on PBEsol structure

E_form = 603.8 meV per atom
Mass density = 3000 kg/m3
E_tot = -0.9957 Ry/atom

Cell: 5.233 5.233 5.233 Å, 60.00 60.00 60.00°
Sites, in units of the cell vectors:
Li1 0.000 0.000 0.000
Ca1 0.250 0.250 0.250
Ca2 0.750 0.750 0.750
Mo1 0.500 0.500 0.500

[5]
CdIn2Se | SCAN | single point on PBEsol structure

Uncorrected formation energy = -0.09 eV per atom
Mass density = 7380 kg/m3
E_tot = -2.1611 Ry/atom

Cell: 3.578 3.578 7.401 Å, 90.00 90.00 90.00°
Sites, in units of the cell vectors:
Cd1 0.000 0.000 0.000
In1 0.000 0.000 0.557
In2 0.500 0.500 0.255
Se1 0.500 0.500 0.780

[6]
LiTaGeO5 | SCAN | single point on PBEsol structure

Uncorrected formation energy = -2.49 eV per atom
Mass density = 5620 kg/m3
E_tot = -1.2786 Ry/atom

Cell: 5.555 5.555 7.531 Å, 109.96 109.96 93.39°
Sites, in units of the cell vectors:
Li1 0.192 0.808 0.500
Li2 0.808 0.192 0.000
Ta1 0.492 0.507 0.211
Ta2 0.507 0.492 0.711
Ge1 0.137 0.863 0.949
Ge2 0.863 0.137 0.449
O1 0.192 0.205 0.055
O2 0.205 0.192 0.555
O3 0.259 0.737 0.757
O4 0.268 0.742 0.141
O5 0.430 0.566 0.457
O6 0.566 0.430 0.957
O7 0.737 0.259 0.257
O8 0.742 0.268 0.641
O9 0.795 0.807 0.860
O10 0.807 0.795 0.360

Please write out number 1 again, unchanged.
TlF | SCAN | single point on PBEsol structure

Uncorrected formation energy = -1.81 eV per atom
Mass density = 9020 kg/m3
E_tot = -2.9222 Ry/atom

Cell: 6.011 5.410 5.058 Å, 90.00 90.00 90.00°
Sites, in units of the cell vectors:
Tl1 0.239 0.012 0.250
Tl2 0.239 0.488 0.750
Tl3 0.761 0.512 0.250
Tl4 0.761 0.988 0.750
F1 0.357 0.566 0.250
F2 0.357 0.934 0.750
F3 0.643 0.066 0.250
F4 0.643 0.434 0.750